No. 1
First-principles (PBE) data for crystalline LiY2CdO at its relaxed geometry, as listed in the Alexandria database.

```
data_LiY2CdO
_chemical_formula_sum 'Li1 Y2 Cd1 O1'
_symmetry_space_group_name_H-M 'P 1'
_symmetry_Int_Tables_number 1
_symmetry_space_group_name_Hall 'P 1'
_cell_length_a 4.8342
_cell_length_b 4.8342
_cell_length_c 4.1986
_cell_angle_alpha 90.00
_cell_angle_beta 90.00
_cell_angle_gamma 90.00
loop_
_atom_site_label
_atom_site_type_symbol
_atom_site_fract_x
_atom_site_fract_y
_atom_site_fract_z
_atom_site_occupancy
Cd1 Cd 0.5000 0.5000 0.5000 1
O1 O 0.0000 0.0000 0.0000 1
Y1 Y 0.5000 0.0000 0.0000 1
Y2 Y 0.0000 0.5000 0.0000 1
Li1 Li 0.0000 0.0000 0.5000 1
```

Properties
E_form (uncorrected)   -123.33 kJ/mol of atoms
Magnetization   0.000 μB per atom
Mass density   5.30 g/cm³
Crystal system   tetragonal
Total energy   -27.11 eV per formula unit

---

No. 2
First-principles (PBE) data for crystalline Li2ZrCdO4 at its relaxed geometry, as listed in the Alexandria database.

```
data_Li2ZrCdO4
_chemical_formula_sum 'Li2 Zr1 Cd1 O4'
_symmetry_space_group_name_H-M 'P 1'
_symmetry_Int_Tables_number 1
_symmetry_space_group_name_Hall 'P 1'
_cell_length_a 5.0849
_cell_length_b 5.4366
_cell_length_c 5.4366
_cell_angle_alpha 55.76
_cell_angle_beta 62.12
_cell_angle_gamma 62.12
loop_
_atom_site_label
_atom_site_type_symbol
_atom_site_fract_x
_atom_site_fract_y
_atom_site_fract_z
_atom_site_occupancy
Cd1 Cd 0.0000 0.0000 0.0000 1
Li1 Li 0.7500 0.7500 0.7500 1
Li2 Li 0.2500 0.2500 0.2500 1
Zr1 Zr 0.5000 0.5000 0.5000 1
O1 O 0.8675 0.5953 0.1325 1
O2 O 0.4046 0.1325 0.5953 1
O3 O 0.1325 0.8675 0.4047 1
O4 O 0.5954 0.4047 0.8675 1
```

Properties
E_form (uncorrected)   -211.25 kJ/mol of atoms
Magnetization   0.000 μB per atom
Mass density   4.43 g/cm³
Crystal system   tetragonal
Total energy   -50.64 eV per formula unit

---

No. 3
First-principles (PBE) data for crystalline LiZr2CdO at its relaxed geometry, as listed in the Alexandria database.

```
data_LiZr2CdO
_chemical_formula_sum 'Li1 Zr2 Cd1 O1'
_symmetry_space_group_name_H-M 'P 1'
_symmetry_Int_Tables_number 1
_symmetry_space_group_name_Hall 'P 1'
_cell_length_a 4.4799
_cell_length_b 4.4799
_cell_length_c 4.1842
_cell_angle_alpha 90.00
_cell_angle_beta 90.00
_cell_angle_gamma 90.00
loop_
_atom_site_label
_atom_site_type_symbol
_atom_site_fract_x
_atom_site_fract_y
_atom_site_fract_z
_atom_site_occupancy
Zr1 Zr 0.0000 0.5000 0.0000 1
Zr2 Zr 0.5000 0.0000 0.0000 1
Li1 Li 0.0000 0.0000 0.5000 1
O1 O 0.0000 0.0000 0.0000 1
Cd1 Cd 0.5000 0.5000 0.5000 1
```

Properties
E_form (uncorrected)   -105.28 kJ/mol of atoms
Magnetization   0.000 μB per atom
Mass density   6.28 g/cm³
Crystal system   tetragonal
Total energy   -30.34 eV per formula unit